The following is a GGA-PBE calculation of an optimized crystal structure of Ti5VIr2Rh2, from Alexandria via LeMat-Bulk.

Total magnetization = 0.00 μB/cell
Calculated volume = 16.33 Å³ per atom
Energy relative to the elements = -26 kJ/mol of atoms

```
Ti5VIr2Rh2
1.0
-2.111 1.599 1.350
-6.653 -2.203 -7.796
-3.194 -8.558 5.144
Ti V Ir Rh
10 2 4 4
direct
0.500 0.147 0.147
0.500 0.853 0.853
0.500 0.147 0.853
0.500 0.647 0.353
0.500 0.853 0.147
0.500 0.353 0.647
0.500 0.647 0.647
0.500 0.353 0.353
0.500 0.500 0.000
0.500 0.000 0.500
0.000 0.000 0.000
0.000 0.500 0.500
0.000 0.149 0.649
0.000 0.851 0.351
0.000 0.649 0.851
0.000 0.351 0.149
0.000 0.647 0.147
0.000 0.353 0.853
0.000 0.147 0.353
0.000 0.853 0.647
```